[1]
A geometry-optimized SrPmAl structure, computed with PBE.

Values from the calculation:
Offset from the most stable computed form in meV per atom: 0
DOS at the Fermi energy in states/eV per atom: 0.885

```
data_SrPmAl
_cell_length_a 5.003
_cell_length_b 5.003
_cell_length_c 8.290
_cell_angle_alpha 90.00
_cell_angle_beta 90.00
_cell_angle_gamma 90.00
_symmetry_space_group_name_H-M 'P 4/n m m'
_symmetry_Int_Tables_number 129
loop_
_symmetry_equiv_pos_as_xyz
'x,y,z'
'-x,-y,-z'
'-y+1/2,x,z'
'y+1/2,-x,-z'
'-x+1/2,-y+1/2,z'
'x+1/2,y+1/2,-z'
'y,-x+1/2,z'
'-y,x+1/2,-z'
'x+1/2,-y,-z'
'-x+1/2,y,z'
'-y,-x,-z'
'y,x,z'
'-x,y+1/2,-z'
'x,-y+1/2,z'
'y+1/2,x+1/2,-z'
'-y+1/2,-x+1/2,z'
loop_
_atom_site_label
_atom_site_type_symbol
_atom_site_fract_x
_atom_site_fract_y
_atom_site_fract_z
Sr1 Sr 0.250 0.250 0.139
Pm1 Pm 0.250 0.750 0.500
Al1 Al 0.250 0.250 0.732
```



[2]
A geometry-optimized SrPmAl structure, computed with PBE.

Values from the calculation:
Offset from the most stable computed form in meV per atom: 11
DOS at the Fermi energy in states/eV per atom: 0.703

```
data_SrPmAl
_cell_length_a 3.806
_cell_length_b 3.806
_cell_length_c 13.832
_cell_angle_alpha 90.00
_cell_angle_beta 90.00
_cell_angle_gamma 90.00
_symmetry_space_group_name_H-M 'I 4 m m'
_symmetry_Int_Tables_number 107
_symmetry_space_group_name_Hall 'I 4 -2'
loop_
_atom_site_label
_atom_site_type_symbol
_atom_site_fract_x
_atom_site_fract_y
_atom_site_fract_z
Sr1 Sr 0.000 0.000 0.000
Pm1 Pm 0.000 0.000 0.272
Al1 Al 0.000 0.000 0.656
```



[3]
A geometry-optimized SrPmAlTl structure, computed with PBE.

Values from the calculation:
DOS at the Fermi energy in states/eV per atom: 0.792

```
data_SrPmAlTl
_cell_length_a 7.805
_cell_length_b 7.805
_cell_length_c 7.805
_cell_angle_alpha 90.00
_cell_angle_beta 90.00
_cell_angle_gamma 90.00
_symmetry_space_group_name_H-M 'F -4 3 m'
_symmetry_Int_Tables_number 216
_symmetry_space_group_name_Hall 'F -4 2 3'
loop_
_atom_site_label
_atom_site_type_symbol
_atom_site_fract_x
_atom_site_fract_y
_atom_site_fract_z
Sr1 Sr 0.000 0.000 0.000
Pm1 Pm 0.000 0.000 0.500
Al1 Al 0.250 0.250 0.250
Tl1 Tl 0.250 0.250 0.750
```



[4]
A geometry-optimized SrPmAlZn structure, computed with PBE.

Values from the calculation:
DOS at the Fermi energy in states/eV per atom: 0.814

```
data_SrPmAlZn
_cell_length_a 7.617
_cell_length_b 7.617
_cell_length_c 7.617
_cell_angle_alpha 90.00
_cell_angle_beta 90.00
_cell_angle_gamma 90.00
_symmetry_space_group_name_H-M 'F -4 3 m'
_symmetry_Int_Tables_number 216
_symmetry_space_group_name_Hall 'F -4 2 3'
loop_
_atom_site_label
_atom_site_type_symbol
_atom_site_fract_x
_atom_site_fract_y
_atom_site_fract_z
Sr1 Sr 0.000 0.000 0.000
Pm1 Pm 0.000 0.000 0.500
Al1 Al 0.250 0.250 0.250
Zn1 Zn 0.250 0.250 0.750
```



[5]
A geometry-optimized Tb9Pm4Al11 structure, computed with PBE.

Values from the calculation:
DOS at the Fermi energy in states/eV per atom: 0.687

```
data_Tb9Pm4Al11
_cell_length_a 15.528
_cell_length_b 22.554
_cell_length_c 3.397
_cell_angle_alpha 90.00
_cell_angle_beta 90.00
_cell_angle_gamma 90.00
_symmetry_space_group_name_H-M 'C m m m'
_symmetry_Int_Tables_number 65
_symmetry_space_group_name_Hall '-C 2 2'
loop_
_atom_site_label
_atom_site_type_symbol
_atom_site_fract_x
_atom_site_fract_y
_atom_site_fract_z
Tb1 Tb 0.000 0.000 0.000
Tb2 Tb 0.106 0.402 0.000
Tb3 Tb 0.112 0.223 0.000
Pm1 Pm 0.179 0.082 0.000
Al1 Al 0.000 0.121 0.500
Al2 Al 0.000 0.311 0.500
Al3 Al 0.000 0.500 0.500
Al4 Al 0.193 0.500 0.500
Al5 Al 0.224 0.312 0.500
```



[6]
A geometry-optimized TbPm2Al structure, computed with PBE.

Values from the calculation:
Offset from the most stable computed form in meV per atom: 35
DOS at the Fermi energy in states/eV per atom: 0.943

```
data_TbPm2Al
_cell_length_a 3.562
_cell_length_b 3.562
_cell_length_c 9.267
_cell_angle_alpha 90.00
_cell_angle_beta 90.00
_cell_angle_gamma 90.00
_symmetry_space_group_name_H-M 'P 4/m m m'
_symmetry_Int_Tables_number 123
_symmetry_space_group_name_Hall '-P 4 2'
loop_
_atom_site_label
_atom_site_type_symbol
_atom_site_fract_x
_atom_site_fract_y
_atom_site_fract_z
Tb1 Tb 0.000 0.000 0.000
Pm1 Pm 0.500 0.500 0.284
Al1 Al 0.000 0.000 0.500
```



[7]
A geometry-optimized Tb2Pm8Al structure, computed with PBE.

Values from the calculation:
DOS at the Fermi energy in states/eV per atom: 1.344

```
data_Tb2Pm8Al
_cell_length_a 17.652
_cell_length_b 5.448
_cell_length_c 8.109
_cell_angle_alpha 90.00
_cell_angle_beta 112.63
_cell_angle_gamma 90.00
_symmetry_space_group_name_H-M 'C 1 2/m 1'
_symmetry_Int_Tables_number 12
_symmetry_space_group_name_Hall '-C 2y'
loop_
_atom_site_label
_atom_site_type_symbol
_atom_site_fract_x
_atom_site_fract_y
_atom_site_fract_z
Tb1 Tb 0.191 0.000 0.154
Pm1 Pm 0.017 0.000 0.270
Pm2 Pm 0.101 0.500 0.922
Pm3 Pm 0.162 0.500 0.415
Pm4 Pm 0.175 0.000 0.721
Al1 Al 0.000 0.500 0.500
```



[8]
A geometry-optimized Tb2PmAl6 structure, computed with PBE.

Values from the calculation:
Offset from the most stable computed form in meV per atom: 236
DOS at the Fermi energy in states/eV per atom: 0.577

```
data_Tb2PmAl6
_cell_length_a 4.415
_cell_length_b 7.222
_cell_length_c 13.510
_cell_angle_alpha 90.00
_cell_angle_beta 90.00
_cell_angle_gamma 90.00
_symmetry_space_group_name_H-M 'I m m m'
_symmetry_Int_Tables_number 71
_symmetry_space_group_name_Hall '-I 2 2'
loop_
_atom_site_label
_atom_site_type_symbol
_atom_site_fract_x
_atom_site_fract_y
_atom_site_fract_z
Tb1 Tb 0.000 0.000 0.125
Pm1 Pm 0.000 0.500 0.000
Al1 Al 0.000 0.194 0.315
Al2 Al 0.000 0.316 0.500
```



[9]
A geometry-optimized Tb3Pm2Al3 structure, computed with PBE.

Values from the calculation:
Offset from the most stable computed form in meV per atom: 18
DOS at the Fermi energy in states/eV per atom: 1.002

```
data_Tb3Pm2Al3
_cell_length_a 4.838
_cell_length_b 4.848
_cell_length_c 8.945
_cell_angle_alpha 90.00
_cell_angle_beta 90.00
_cell_angle_gamma 90.00
_symmetry_space_group_name_H-M 'P m m m'
_symmetry_Int_Tables_number 47
_symmetry_space_group_name_Hall '-P 2 2'
loop_
_atom_site_label
_atom_site_type_symbol
_atom_site_fract_x
_atom_site_fract_y
_atom_site_fract_z
Tb1 Tb 0.000 0.000 0.000
Tb2 Tb 0.000 0.500 0.277
Pm1 Pm 0.500 0.000 0.268
Al1 Al 0.000 0.000 0.500
Al2 Al 0.500 0.500 0.000
Al3 Al 0.500 0.500 0.500
```



[10]
A geometry-optimized Tb5PmAl3 structure, computed with PBE.

Values from the calculation:
DOS at the Fermi energy in states/eV per atom: 1.223

```
data_Tb5PmAl3
_cell_length_a 9.1502
_cell_length_b 9.1502
_cell_length_c 6.6904
_cell_angle_alpha 90.00
_cell_angle_beta 90.00
_cell_angle_gamma 120.00
_symmetry_space_group_name_H-M 'P 63/m c m'
_symmetry_Int_Tables_number 193
_symmetry_space_group_name_Hall '-P 6c 2'
loop_
_atom_site_label
_atom_site_type_symbol
_atom_site_fract_x
_atom_site_fract_y
_atom_site_fract_z
Tb1 Tb 0.0000 0.3321 0.2500
Tb2 Tb 0.3333 0.6667 0.0000
Pm1 Pm 0.0000 0.0000 0.0000
Al1 Al 0.0000 0.3373 0.7500
```



[11]
A geometry-optimized Tb4Pm2Al structure, computed with PBE.

Values from the calculation:
DOS at the Fermi energy in states/eV per atom: 1.557

```
data_Tb4Pm2Al
_cell_length_a 3.6247
_cell_length_b 3.6247
_cell_length_c 57.6869
_cell_angle_alpha 90.00
_cell_angle_beta 90.00
_cell_angle_gamma 120.00
_symmetry_space_group_name_H-M 'R -3 m'
_symmetry_Int_Tables_number 166
_symmetry_space_group_name_Hall '-R 3 2"'
loop_
_atom_site_label
_atom_site_type_symbol
_atom_site_fract_x
_atom_site_fract_y
_atom_site_fract_z
Tb1 Tb 0.0000 0.0000 0.0899
Tb2 Tb 0.0000 0.0000 0.2944
Pm1 Pm 0.0000 0.0000 0.1930
Al1 Al 0.0000 0.0000 0.0000
```



| no. | electronic total energy (eV/atom) | energy of formation (eV/atom) |
| --- | --- | --- |
| 1 | -3.5142 | -0.12 |
| 2 | -3.5029 | -0.11 |
| 3 | -3.3782 | -0.24 |
| 4 | -3.0549 | -0.19 |
| 5 | -4.5622 | -0.32 |
| 6 | -4.6199 | -0.15 |
| 7 | -4.6039 | 0.03 |
| 8 | -4.3059 | -0.25 |
| 9 | -4.5875 | -0.26 |
| 10 | -4.6008 | -0.25 |
| 11 | -4.5633 | -0.03 |